--- i ---
# AcDyY2 | the Alexandria database | PBE-GGA | optimized geometry
# Fermi-level density of states: 26.49 states/eV per cell
data_AcDyY2
_chemical_formula_sum 'Ac4 Dy4 Y8'
_cell_length_a 8.2646
_cell_length_b 8.2646
_cell_length_c 8.2646
_cell_angle_alpha 90.00
_cell_angle_beta 90.00
_cell_angle_gamma 90.00
_symmetry_space_group_name_H-M 'F m -3 m'
_symmetry_Int_Tables_number 225
_symmetry_space_group_name_Hall '-F 4 2 3'
loop_
_atom_site_label
_atom_site_fract_x
_atom_site_fract_y
_atom_site_fract_z
Ac1 0.0000 0.0000 0.0000
Dy1 0.0000 0.0000 0.5000
Y1 0.2500 0.2500 0.2500

---

--- ii ---
# AcDyY2 | the Alexandria database | PBE-GGA | optimized geometry
# Fermi-level density of states: 7.39 states/eV per cell
data_AcDyY2
_chemical_formula_sum 'Ac1 Dy1 Y2'
_cell_length_a 4.1615
_cell_length_b 4.1615
_cell_length_c 8.1907
_cell_angle_alpha 90.00
_cell_angle_beta 90.00
_cell_angle_gamma 90.00
_symmetry_space_group_name_H-M 'P 4/m m m'
_symmetry_Int_Tables_number 123
_symmetry_space_group_name_Hall '-P 4 2'
loop_
_atom_site_label
_atom_site_fract_x
_atom_site_fract_y
_atom_site_fract_z
Ac1 0.0000 0.0000 0.0000
Dy1 0.0000 0.0000 0.5000
Y1 0.5000 0.5000 0.2744

---

--- iii ---
# AcDyY2 | the Alexandria database | PBE-GGA | optimized geometry
# Fermi-level density of states: 7.09 states/eV per cell
data_AcDyY2
_chemical_formula_sum 'Ac1 Dy1 Y2'
_cell_length_a 5.1978
_cell_length_b 5.1978
_cell_length_c 5.1695
_cell_angle_alpha 90.00
_cell_angle_beta 90.00
_cell_angle_gamma 90.00
_symmetry_space_group_name_H-M 'P 4/m m m'
_symmetry_Int_Tables_number 123
_symmetry_space_group_name_Hall '-P 4 2'
loop_
_atom_site_label
_atom_site_fract_x
_atom_site_fract_y
_atom_site_fract_z
Ac1 0.0000 0.0000 0.0000
Dy1 0.5000 0.5000 0.0000
Y1 0.0000 0.5000 0.5000

---

--- iv ---
# AcDyY2 | the Alexandria database | PBE-GGA | optimized geometry
# Fermi-level density of states: 13.16 states/eV per cell
data_AcDyY2
_chemical_formula_sum 'Ac2 Dy2 Y4'
_cell_length_a 3.7716
_cell_length_b 11.6988
_cell_length_c 6.3697
_cell_angle_alpha 90.00
_cell_angle_beta 90.00
_cell_angle_gamma 90.00
_symmetry_space_group_name_H-M 'I m m 2'
_symmetry_Int_Tables_number 44
loop_
_symmetry_equiv_pos_as_xyz
'x,y,z'
'-x,-y,z'
'-x,y,z'
'x,-y,z'
'x+1/2,y+1/2,z+1/2'
'-x+1/2,-y+1/2,z+1/2'
'-x+1/2,y+1/2,z+1/2'
'x+1/2,-y+1/2,z+1/2'
loop_
_atom_site_label
_atom_site_fract_x
_atom_site_fract_y
_atom_site_fract_z
Ac1 0.0000 0.0000 0.0000
Dy1 0.0000 0.5000 0.0092
Y1 0.0000 0.2442 0.3498

---

Computed relative energies in units of eV/atom: i 0.070; ii 0.053; iii 0.010; iv 0.000

---

--- i ---
# AcDy3Y7 | the Alexandria database | PBE-GGA | optimized geometry
# Fermi-level density of states: 18.09 states/eV per cell
data_AcDy3Y7
_chemical_formula_sum 'Ac1 Dy3 Y7'
_cell_length_a 7.0036
_cell_length_b 5.6280
_cell_length_c 9.9580
_cell_angle_alpha 90.00
_cell_angle_beta 108.11
_cell_angle_gamma 90.00
_symmetry_space_group_name_H-M 'P 1 2/m 1'
_symmetry_Int_Tables_number 10
loop_
_symmetry_equiv_pos_as_xyz
'x,y,z'
'-x,-y,-z'
'-x,y,-z'
'x,-y,z'
loop_
_atom_site_label
_atom_site_fract_x
_atom_site_fract_y
_atom_site_fract_z
Ac1 0.0000 0.0000 0.0000
Dy1 0.2754 0.5000 0.4927
Dy2 0.5000 0.0000 0.0000
Y1 0.0000 0.0000 0.5000
Y2 0.1469 0.5000 0.7868
Y3 0.3309 0.5000 0.1423
Y4 0.4356 0.0000 0.3327

---

--- ii ---
# AcDy3Y7 | the Alexandria database | PBE-GGA | optimized geometry
# Fermi-level density of states: 35.27 states/eV per cell
data_AcDy3Y7
_chemical_formula_sum 'Ac2 Dy6 Y14'
_cell_length_a 5.9726
_cell_length_b 11.2479
_cell_length_c 11.2599
_cell_angle_alpha 90.00
_cell_angle_beta 90.00
_cell_angle_gamma 90.00
_symmetry_space_group_name_H-M 'I m m m'
_symmetry_Int_Tables_number 71
_symmetry_space_group_name_Hall '-I 2 2'
loop_
_atom_site_label
_atom_site_fract_x
_atom_site_fract_y
_atom_site_fract_z
Ac1 0.0000 0.0000 0.0000
Dy1 0.0000 0.0000 0.5000
Dy2 0.0000 0.5000 0.2114
Y1 0.0000 0.2094 0.3069
Y2 0.0000 0.3066 0.0000
Y3 0.0000 0.5000 0.5000

---

Computed relative energies in units of eV/atom: i 0.000; ii 0.149

---

--- i ---
# AcDy2Y4 | the Alexandria database | PBE-GGA | optimized geometry
# Fermi-level density of states: 22.85 states/eV per cell
data_AcDy2Y4
_chemical_formula_sum 'Ac2 Dy4 Y8'
_cell_length_a 7.1906
_cell_length_b 8.7433
_cell_length_c 8.9645
_cell_angle_alpha 114.78
_cell_angle_beta 101.33
_cell_angle_gamma 101.71
_symmetry_space_group_name_H-M 'P 1'
_symmetry_Int_Tables_number 1
loop_
_symmetry_equiv_pos_as_xyz
'x,y,z'
loop_
_atom_site_label
_atom_site_fract_x
_atom_site_fract_y
_atom_site_fract_z
Ac1 0.0000 0.0000 0.0000
Ac2 0.3037 0.6776 0.5609
Dy1 0.2141 0.1397 0.7155
Dy2 0.5259 0.8328 0.2809
Dy3 0.7966 0.6682 0.5386
Dy4 0.8827 0.4116 0.1424
Y1 0.0253 0.8341 0.2916
Y2 0.1088 0.5612 0.8864
Y3 0.3901 0.4128 0.1462
Y4 0.4156 0.2374 0.4247
Y5 0.5087 0.0150 0.0178
Y6 0.6105 0.5622 0.8825
Y7 0.7069 0.1280 0.7114
Y8 0.9099 0.2416 0.4258

---

--- ii ---
# AcDy2Y4 | the Alexandria database | PBE-GGA | optimized geometry
# Fermi-level density of states: 24.07 states/eV per cell
data_AcDy2Y4
_chemical_formula_sum 'Ac2 Dy4 Y8'
_cell_length_a 6.2036
_cell_length_b 8.5450
_cell_length_c 9.6551
_cell_angle_alpha 88.74
_cell_angle_beta 77.80
_cell_angle_gamma 72.99
_symmetry_space_group_name_H-M 'P 1'
_symmetry_Int_Tables_number 1
loop_
_symmetry_equiv_pos_as_xyz
'x,y,z'
loop_
_atom_site_label
_atom_site_fract_x
_atom_site_fract_y
_atom_site_fract_z
Ac1 0.0000 0.0000 0.0000
Ac2 0.4615 0.2213 0.8965
Dy1 0.1619 0.4949 0.4858
Dy2 0.2602 0.1690 0.2659
Dy3 0.3624 0.6341 0.7647
Dy4 0.6025 0.6948 0.4182
Y1 0.0154 0.8914 0.3599
Y2 0.1060 0.5660 0.1273
Y3 0.2624 0.0523 0.6152
Y4 0.5418 0.7806 0.0696
Y5 0.6652 0.3773 0.1968
Y6 0.7267 0.2753 0.5367
Y7 0.8065 0.8336 0.7053
Y8 0.9045 0.4326 0.8370

---

Computed relative energies in units of eV/atom: i 0.000; ii 0.037

---

--- i ---
# AcDyY3 | the Alexandria database | PBE-GGA | optimized geometry
# Fermi-level density of states: 55.38 states/eV per cell
data_AcDyY3
_chemical_formula_sum 'Ac8 Dy8 Y24'
_cell_length_a 9.3051
_cell_length_b 15.7603
_cell_length_c 9.6902
_cell_angle_alpha 90.00
_cell_angle_beta 90.16
_cell_angle_gamma 90.00
_symmetry_space_group_name_H-M 'C 1 2/c 1'
_symmetry_Int_Tables_number 15
loop_
_symmetry_equiv_pos_as_xyz
'x,y,z'
'-x,-y,-z'
'-x,y,-z+1/2'
'x,-y,z+1/2'
'x+1/2,y+1/2,z'
'-x+1/2,-y+1/2,-z'
'-x+1/2,y+1/2,-z+1/2'
'x+1/2,-y+1/2,z+1/2'
loop_
_atom_site_label
_atom_site_fract_x
_atom_site_fract_y
_atom_site_fract_z
Ac1 0.0000 0.0023 0.2500
Ac2 0.0000 0.4280 0.7500
Dy1 0.1882 0.3964 0.0683
Y1 0.0008 0.2216 0.9315
Y2 0.1829 0.3951 0.4275
Y3 0.1877 0.2028 0.2499

---

--- ii ---
# AcDyY3 | the Alexandria database | PBE-GGA | optimized geometry
# Fermi-level density of states: 33.36 states/eV per cell
data_AcDyY3
_chemical_formula_sum 'Ac4 Dy4 Y12'
_cell_length_a 18.4255
_cell_length_b 4.9241
_cell_length_c 8.6426
_cell_angle_alpha 90.00
_cell_angle_beta 112.30
_cell_angle_gamma 90.00
_symmetry_space_group_name_H-M 'C 1 2/m 1'
_symmetry_Int_Tables_number 12
loop_
_symmetry_equiv_pos_as_xyz
'x,y,z'
'-x,-y,-z'
'-x,y,-z'
'x,-y,z'
'x+1/2,y+1/2,z'
'-x+1/2,-y+1/2,-z'
'-x+1/2,y+1/2,-z'
'x+1/2,-y+1/2,z'
loop_
_atom_site_label
_atom_site_fract_x
_atom_site_fract_y
_atom_site_fract_z
Ac1 0.1156 0.0000 0.1478
Dy1 0.1890 0.5000 0.8910
Y1 0.0568 0.0000 0.6995
Y2 0.0849 0.5000 0.4457
Y3 0.2274 0.0000 0.6288

---

Computed relative energies in units of eV/atom: i 0.000; ii 0.022

---

--- i ---
# AcDy2Y8 | the Alexandria database | PBE-GGA | optimized geometry
# Fermi-level density of states: 38.59 states/eV per cell
data_AcDy2Y8
_chemical_formula_sum 'Ac2 Dy4 Y16'
_cell_length_a 13.4828
_cell_length_b 10.5419
_cell_length_c 5.3806
_cell_angle_alpha 90.00
_cell_angle_beta 94.44
_cell_angle_gamma 90.00
_symmetry_space_group_name_H-M 'C 1 2/m 1'
_symmetry_Int_Tables_number 12
loop_
_symmetry_equiv_pos_as_xyz
'x,y,z'
'-x,-y,-z'
'-x,y,-z'
'x,-y,z'
'x+1/2,y+1/2,z'
'-x+1/2,-y+1/2,-z'
'-x+1/2,y+1/2,-z'
'x+1/2,-y+1/2,z'
loop_
_atom_site_label
_atom_site_fract_x
_atom_site_fract_y
_atom_site_fract_z
Ac1 0.0000 0.0000 0.0000
Dy1 0.1848 0.5000 0.7673
Y1 0.0642 0.3351 0.2522
Y2 0.1867 0.1717 0.7267

---

--- ii ---
# AcDy2Y8 | the Alexandria database | PBE-GGA | optimized geometry
# Fermi-level density of states: 38.40 states/eV per cell
data_AcDy2Y8
_chemical_formula_sum 'Ac2 Dy4 Y16'
_cell_length_a 19.4790
_cell_length_b 7.0886
_cell_length_c 5.5349
_cell_angle_alpha 90.00
_cell_angle_beta 93.05
_cell_angle_gamma 90.00
_symmetry_space_group_name_H-M 'C 1 2/m 1'
_symmetry_Int_Tables_number 12
loop_
_symmetry_equiv_pos_as_xyz
'x,y,z'
'-x,-y,-z'
'-x,y,-z'
'x,-y,z'
'x+1/2,y+1/2,z'
'-x+1/2,-y+1/2,-z'
'-x+1/2,y+1/2,-z'
'x+1/2,-y+1/2,z'
loop_
_atom_site_label
_atom_site_fract_x
_atom_site_fract_y
_atom_site_fract_z
Ac1 0.0000 0.0000 0.0000
Dy1 0.2148 0.5000 0.2462
Y1 0.0477 0.5000 0.2391
Y2 0.1362 0.2689 0.7297
Y3 0.1906 0.0000 0.2351

---

Computed relative energies in units of eV/atom: i 0.050; ii 0.000

---

--- i ---
# AcDy2Zn | the Alexandria database | PBE-GGA | optimized geometry
# Fermi-level density of states: 6.17 states/eV per cell
data_AcDy2Zn
_chemical_formula_sum 'Ac1 Dy2 Zn1'
_cell_length_a 4.8633
_cell_length_b 4.8633
_cell_length_c 5.0738
_cell_angle_alpha 90.00
_cell_angle_beta 90.00
_cell_angle_gamma 90.00
_symmetry_space_group_name_H-M 'P 4/m m m'
_symmetry_Int_Tables_number 123
_symmetry_space_group_name_Hall '-P 4 2'
loop_
_atom_site_label
_atom_site_fract_x
_atom_site_fract_y
_atom_site_fract_z
Ac1 0.0000 0.0000 0.0000
Dy1 0.0000 0.5000 0.5000
Zn1 0.5000 0.5000 0.0000

---

--- ii ---
# AcDy2Zn | the Alexandria database | PBE-GGA | optimized geometry
# Fermi-level density of states: 14.89 states/eV per cell
data_AcDy2Zn
_chemical_formula_sum 'Ac3 Dy6 Zn3'
_cell_length_a 3.6069
_cell_length_b 3.6069
_cell_length_c 34.4771
_cell_angle_alpha 90.00
_cell_angle_beta 90.00
_cell_angle_gamma 120.00
_symmetry_space_group_name_H-M 'R -3 m'
_symmetry_Int_Tables_number 166
_symmetry_space_group_name_Hall '-R 3 2"'
loop_
_atom_site_label
_atom_site_fract_x
_atom_site_fract_y
_atom_site_fract_z
Ac1 0.0000 0.0000 0.0000
Dy1 0.0000 0.0000 0.1046
Zn1 0.0000 0.0000 0.5000

---

Computed relative energies in units of eV/atom: i 0.000; ii 0.082

---

--- i ---
# AcDy2Zn | the Alexandria database | PBE-GGA | optimized geometry
# Fermi-level density of states: 24.94 states/eV per cell
data_AcDy2Zn
_chemical_formula_sum 'Ac4 Dy8 Zn4'
_cell_length_a 7.8045
_cell_length_b 7.8045
_cell_length_c 7.8045
_cell_angle_alpha 90.00
_cell_angle_beta 90.00
_cell_angle_gamma 90.00
_symmetry_space_group_name_H-M 'F m -3 m'
_symmetry_Int_Tables_number 225
_symmetry_space_group_name_Hall '-F 4 2 3'
loop_
_atom_site_label
_atom_site_fract_x
_atom_site_fract_y
_atom_site_fract_z
Ac1 0.0000 0.0000 0.0000
Dy1 0.2500 0.2500 0.2500
Zn1 0.0000 0.0000 0.5000

---

--- ii ---
# AcDy2Zn | the Alexandria database | PBE-GGA | optimized geometry
# Fermi-level density of states: 5.45 states/eV per cell
data_AcDy2Zn
_chemical_formula_sum 'Ac1 Dy2 Zn1'
_cell_length_a 3.6609
_cell_length_b 3.6609
_cell_length_c 8.9768
_cell_angle_alpha 90.00
_cell_angle_beta 90.00
_cell_angle_gamma 90.00
_symmetry_space_group_name_H-M 'P 4/m m m'
_symmetry_Int_Tables_number 123
_symmetry_space_group_name_Hall '-P 4 2'
loop_
_atom_site_label
_atom_site_fract_x
_atom_site_fract_y
_atom_site_fract_z
Ac1 0.0000 0.0000 0.0000
Dy1 0.5000 0.5000 0.3078
Zn1 0.0000 0.0000 0.5000

---

--- iii ---
# AcDy2Zn | the Alexandria database | PBE-GGA | optimized geometry
# Fermi-level density of states: 13.85 states/eV per cell
data_AcDy2Zn
_chemical_formula_sum 'Ac3 Dy6 Zn3'
_cell_length_a 3.7450
_cell_length_b 3.7450
_cell_length_c 31.2722
_cell_angle_alpha 90.00
_cell_angle_beta 90.00
_cell_angle_gamma 120.00
_symmetry_space_group_name_H-M 'R 3 m'
_symmetry_Int_Tables_number 160
_symmetry_space_group_name_Hall 'R 3 -2"'
loop_
_atom_site_label
_atom_site_fract_x
_atom_site_fract_y
_atom_site_fract_z
Ac1 0.0000 0.0000 0.0000
Dy1 0.0000 0.0000 0.2340
Dy2 0.0000 0.0000 0.4344
Zn1 0.0000 0.0000 0.8345

---

Computed relative energies in units of eV/atom: i 0.313; ii 0.000; iii 0.106

---

--- i ---
# AcDyZn | the Alexandria database | PBE-GGA | optimized geometry
# Fermi-level density of states: 7.50 states/eV per cell
data_AcDyZn
_chemical_formula_sum 'Ac2 Dy2 Zn2'
_cell_length_a 3.7800
_cell_length_b 3.7800
_cell_length_c 12.7234
_cell_angle_alpha 90.00
_cell_angle_beta 90.00
_cell_angle_gamma 90.00
_symmetry_space_group_name_H-M 'I 4 m m'
_symmetry_Int_Tables_number 107
_symmetry_space_group_name_Hall 'I 4 -2'
loop_
_atom_site_label
_atom_site_fract_x
_atom_site_fract_y
_atom_site_fract_z
Ac1 0.0000 0.0000 0.0000
Dy1 0.0000 0.0000 0.2855
Zn1 0.0000 0.0000 0.6701

---

--- ii ---
# AcDyZn | the Alexandria database | PBE-GGA | optimized geometry
# Fermi-level density of states: 16.05 states/eV per cell
data_AcDyZn
_chemical_formula_sum 'Ac4 Dy4 Zn4'
_cell_length_a 7.3513
_cell_length_b 7.3513
_cell_length_c 7.3513
_cell_angle_alpha 90.00
_cell_angle_beta 90.00
_cell_angle_gamma 90.00
_symmetry_space_group_name_H-M 'F -4 3 m'
_symmetry_Int_Tables_number 216
_symmetry_space_group_name_Hall 'F -4 2 3'
loop_
_atom_site_label
_atom_site_fract_x
_atom_site_fract_y
_atom_site_fract_z
Ac1 0.0000 0.0000 0.0000
Dy1 0.0000 0.0000 0.5000
Zn1 0.2500 0.2500 0.2500

---

--- iii ---
# AcDyZn | the Alexandria database | PBE-GGA | optimized geometry
# Fermi-level density of states: 3.76 states/eV per cell
data_AcDyZn
_chemical_formula_sum 'Ac1 Dy1 Zn1'
_cell_length_a 5.1986
_cell_length_b 5.1986
_cell_length_c 3.9728
_cell_angle_alpha 90.00
_cell_angle_beta 90.00
_cell_angle_gamma 120.00
_symmetry_space_group_name_H-M 'P -6 m 2'
_symmetry_Int_Tables_number 187
_symmetry_space_group_name_Hall 'P -6 2'
loop_
_atom_site_label
_atom_site_fract_x
_atom_site_fract_y
_atom_site_fract_z
Ac1 0.0000 0.0000 0.0000
Dy1 0.6667 0.3333 0.5000
Zn1 0.3333 0.6667 0.5000

---

--- iv ---
# AcDyZn | the Alexandria database | PBE-GGA | optimized geometry
# Fermi-level density of states: 10.74 states/eV per cell
data_AcDyZn
_chemical_formula_sum 'Ac4 Dy4 Zn4'
_cell_length_a 9.2057
_cell_length_b 5.6700
_cell_length_c 7.6172
_cell_angle_alpha 90.00
_cell_angle_beta 111.76
_cell_angle_gamma 90.00
_symmetry_space_group_name_H-M 'C 1 2/m 1'
_symmetry_Int_Tables_number 12
loop_
_symmetry_equiv_pos_as_xyz
'x,y,z'
'-x,-y,-z'
'-x,y,-z'
'x,-y,z'
'x+1/2,y+1/2,z'
'-x+1/2,-y+1/2,-z'
'-x+1/2,y+1/2,-z'
'x+1/2,-y+1/2,z'
loop_
_atom_site_label
_atom_site_fract_x
_atom_site_fract_y
_atom_site_fract_z
Ac1 0.1236 0.0000 0.3440
Dy1 0.2028 0.5000 0.0890
Zn1 0.0400 0.5000 0.6824

---

Computed relative energies in units of eV/atom: i 0.000; ii 0.219; iii 0.128; iv 0.095